First-principles (GGA-PBE) data for an optimized crystal structure of La2AlInRh, as listed in Alexandria.

Cell: 5.5027 5.5027 4.8306 Å, 90.00 90.00 90.00°
Element x y z (fractional)
In  0.5000  0.5000  0.5000
Rh  0.0000  0.0000  0.0000
Al  0.0000  0.0000  0.5000
La  0.0000  0.5000  0.0000
La  0.5000  0.0000  0.0000

Summary:
density	5.932	Mg/m³
VASP energy	-5.260	eV/atom
N(E_F)	3.6	states/eV per cell
M_tot	0.00	μB per formula unit
ΔH_f (0 K)	-0.52	eV/atom


First-principles (GGA-PBE) data for an optimized crystal structure of YPbBr2, as listed in Alexandria.

Cell: 5.0398 3.9319 5.9609 Å, 88.90 90.00 90.00°
Element x y z (fractional)
Pb  0.5000  0.2500  0.2500
Y  0.5000  0.7500  0.7500
Br  0.0000  0.9456  0.9871
Br  0.0000  0.5544  0.5129

Summary:
density	6.410	Mg/m³
VASP energy	-4.197	eV/atom
N(E_F)	1.9	states/eV per cell
M_tot	0.00	μB per formula unit
offset from the most stable computed form	0.83	eV/f.u.
formation energy from raw total energies	-0.818	eV per atom